[1]
The following is a DFT calculation (PBE-GGA) of crystalline KNb2Pt2 at its relaxed geometry.

Calculated values
Mass density ... 8.94 g cm⁻³
Energy of formation ... 0.193 eV per atom

Structure (POSCAR):
```
KNb2Pt2
1.0
4.870 0.000 0.000
0.000 4.870 0.000
0.000 0.000 9.632
K Nb Pt
2 4 4
Direct
0.000 0.000 0.000 K
0.500 0.500 0.500 K
0.000 0.000 0.359 Nb
0.000 0.000 0.641 Nb
0.500 0.500 0.141 Nb
0.500 0.500 0.859 Nb
0.000 0.500 0.250 Pt
0.000 0.500 0.750 Pt
0.500 0.000 0.250 Pt
0.500 0.000 0.750 Pt
```

[2]
The following is a DFT calculation (PBE-GGA) of crystalline La4TeRu at its relaxed geometry.

Calculated values
Mass density ... 6.24 g cm⁻³
ΔE_f (raw) ... -3.5 eV/f.u.

Structure (POSCAR):
```
La4TeRu
1.0
4.716 -7.499 0.000
4.716 7.499 0.000
-3.856 0.000 5.904
La Te Ru
8 2 2
Direct
0.069 0.651 0.873 La
0.175 0.269 0.717 La
0.269 0.175 0.217 La
0.349 0.931 0.627 La
0.651 0.069 0.373 La
0.731 0.825 0.783 La
0.825 0.731 0.283 La
0.931 0.349 0.127 La
0.386 0.614 0.250 Te
0.614 0.386 0.750 Te
0.080 0.920 0.750 Ru
0.920 0.080 0.250 Ru
```

[3]
The following is a DFT calculation (PBE-GGA) of crystalline NaGa4Pt at its relaxed geometry.

Calculated values
Mass density ... 6.73 g cm⁻³
Energy of formation ... -0.316 eV per atom

Structure (POSCAR):
```
NaGa4Pt
1.0
5.910 0.000 0.000
-2.945 6.437 0.000
-0.064 -2.976 6.451
Na Ga Pt
2 8 2
Direct
0.035 0.001 0.251 Na
0.965 0.999 0.749 Na
0.098 0.435 0.643 Ga
0.340 0.433 0.140 Ga
0.386 0.825 0.545 Ga
0.438 0.827 0.049 Ga
0.562 0.173 0.951 Ga
0.614 0.175 0.455 Ga
0.660 0.567 0.860 Ga
0.902 0.565 0.357 Ga
0.000 0.500 0.000 Pt
0.500 0.500 0.500 Pt
```

[4]
The following is a DFT calculation (PBE-GGA) of crystalline PmPa2Rh at its relaxed geometry.

Calculated values
Mass density ... 11.28 g cm⁻³
Energy of formation ... -0.104 eV per atom

Structure (POSCAR):
```
PmPa2Rh
1.0
3.577 0.000 0.000
-1.789 3.098 0.000
0.000 0.000 28.294
Pm Pa Rh
3 6 3
Direct
0.000 0.000 0.000 Pm
0.333 0.667 0.667 Pm
0.667 0.333 0.333 Pm
0.000 0.000 0.233 Pa
0.000 0.000 0.767 Pa
0.333 0.667 0.434 Pa
0.333 0.667 0.900 Pa
0.667 0.333 0.100 Pa
0.667 0.333 0.566 Pa
0.000 0.000 0.500 Rh
0.333 0.667 0.167 Rh
0.667 0.333 0.833 Rh
```

[5]
The following is a DFT calculation (PBE-GGA) of crystalline MoSe2 at its relaxed geometry.

Calculated values
Mass density ... 5.95 g cm⁻³
ΔE_f (raw) ... -1.7 eV/f.u.

Structure (POSCAR):
```
MoSe2
1.0
14.743 0.000 0.000
0.000 3.289 0.000
-1.293 0.000 5.840
Mo Se
4 8
Direct
0.244 0.000 0.306 Mo
0.256 0.500 0.694 Mo
0.744 0.500 0.306 Mo
0.756 0.000 0.694 Mo
0.120 0.500 0.348 Se
0.152 0.000 0.873 Se
0.348 0.500 0.127 Se
0.380 0.000 0.652 Se
0.620 0.000 0.348 Se
0.652 0.500 0.873 Se
0.848 0.000 0.127 Se
0.880 0.500 0.652 Se
```

[6]
The following is a DFT calculation (PBE-GGA) of crystalline RbBa2Cu at its relaxed geometry.

Calculated values
Mass density ... 3.05 g cm⁻³
Energy of formation ... 0.041 eV per atom

Structure (POSCAR):
```
RbBa2Cu
1.0
4.777 0.000 0.000
-2.389 4.137 0.000
0.000 0.000 35.003
Rb Ba Cu
3 6 3
Direct
0.000 0.000 0.000 Rb
0.333 0.667 0.667 Rb
0.667 0.333 0.333 Rb
0.000 0.000 0.549 Ba
0.000 0.000 0.784 Ba
0.333 0.667 0.215 Ba
0.333 0.667 0.450 Ba
0.667 0.333 0.117 Ba
0.667 0.333 0.882 Ba
0.000 0.000 0.166 Cu
0.333 0.667 0.833 Cu
0.667 0.333 0.500 Cu
```

[7]
The following is a DFT calculation (PBE-GGA) of crystalline Ba2Tc2O5 at its relaxed geometry.

Calculated values
Mass density ... 6.80 g cm⁻³
ΔE_f (raw) ... -16.0 eV/f.u.

Structure (POSCAR):
```
Ba2Tc2O5
1.0
3.979 0.000 0.000
0.000 3.979 0.000
0.000 0.000 8.497
Ba Tc O
2 2 5
Direct
0.000 0.000 0.000 Ba
0.000 0.000 0.500 Ba
0.500 0.500 0.241 Tc
0.500 0.500 0.759 Tc
0.000 0.500 0.236 O
0.000 0.500 0.764 O
0.500 0.000 0.236 O
0.500 0.000 0.764 O
0.500 0.500 0.500 O
```

[8]
The following is a DFT calculation (PBE-GGA) of crystalline Zn2RuRh at its relaxed geometry.

Calculated values
Mass density ... 9.92 g cm⁻³
Energy of formation ... -0.057 eV per atom

Structure (POSCAR):
```
Zn2RuRh
1.0
2.925 0.000 0.000
0.000 4.331 0.000
0.000 0.000 8.847
Zn Ru Rh
4 2 2
Direct
0.000 0.000 0.000 Zn
0.000 0.500 0.251 Zn
0.500 0.000 0.751 Zn
0.500 0.500 0.500 Zn
0.000 0.000 0.498 Ru
0.500 0.500 0.998 Ru
0.000 0.500 0.750 Rh
0.500 0.000 0.250 Rh
```

[9]
The following is a DFT calculation (PBE-GGA) of crystalline ZrScSi at its relaxed geometry.

Calculated values
Mass density ... 4.53 g cm⁻³
ΔE_f (raw) ... -0.9 eV/f.u.

Structure (POSCAR):
```
ZrScSi
1.0
4.490 0.000 0.000
-2.245 3.889 0.000
0.000 0.000 3.448
Zr Sc Si
1 1 1
Direct
0.000 0.000 0.000 Zr
0.333 0.667 0.477 Sc
0.667 0.333 0.735 Si
```

[10]
The following is a DFT calculation (PBE-GGA) of crystalline LiP2Pb at its relaxed geometry.

Calculated values
Mass density ... 4.52 g cm⁻³
Energy of formation ... 0.206 eV per atom

Structure (POSCAR):
```
LiP2Pb
1.0
6.038 0.000 0.000
0.000 6.038 0.000
0.000 0.000 11.140
Li P Pb
4 8 4
Direct
0.000 0.000 0.000 Li
0.000 0.500 0.250 Li
0.500 0.000 0.750 Li
0.500 0.500 0.500 Li
0.229 0.250 0.125 P
0.250 0.729 0.375 P
0.250 0.771 0.875 P
0.271 0.250 0.625 P
0.729 0.750 0.625 P
0.750 0.229 0.875 P
0.750 0.271 0.375 P
0.771 0.750 0.125 P
0.000 0.000 0.500 Pb
0.000 0.500 0.750 Pb
0.500 0.000 0.250 Pb
0.500 0.500 0.000 Pb
```

[11]
The following is a DFT calculation (PBE-GGA) of crystalline NbBi2SbIr at its relaxed geometry.

Calculated values
Mass density ... 8.62 g cm⁻³
ΔE_f (raw) ... 7.5 eV/f.u.

Structure (POSCAR):
```
NbBi2SbIr
1.0
5.742 0.000 0.000
0.000 5.742 0.000
0.000 0.000 4.817
Nb Bi Sb Ir
1 2 1 1
Direct
0.000 0.000 0.000 Nb
0.000 0.500 0.500 Bi
0.500 0.000 0.500 Bi
0.500 0.500 0.500 Sb
0.500 0.500 0.000 Ir
```

[12]
The following is a DFT calculation (PBE-GGA) of crystalline Ac2Tb4Nd5 at its relaxed geometry.

Calculated values
Mass density ... 7.67 g cm⁻³
Energy of formation ... 0.033 eV per atom

Structure (POSCAR):
```
Ac2Tb4Nd5
1.0
6.381 0.000 0.000
-2.102 7.980 0.000
-1.037 -2.836 7.698
Ac Tb Nd
2 4 5
Direct
0.138 0.047 0.231 Ac
0.862 0.953 0.769 Ac
0.048 0.675 0.409 Tb
0.319 0.768 0.862 Tb
0.681 0.232 0.138 Tb
0.952 0.325 0.591 Tb
0.226 0.414 0.046 Nd
0.410 0.140 0.684 Nd
0.500 0.500 0.500 Nd
0.590 0.860 0.316 Nd
0.774 0.586 0.954 Nd
```

[13]
The following is a DFT calculation (PBE-GGA) of crystalline Pm3Nd4Zn at its relaxed geometry.

Calculated values
Mass density ... 6.88 g cm⁻³
Energy of formation ... -0.067 eV per atom

Structure (POSCAR):
```
Pm3Nd4Zn
1.0
3.681 0.000 0.000
0.000 3.681 0.000
0.000 0.000 19.202
Pm Nd Zn
3 4 1
Direct
0.000 0.000 0.000 Pm
0.000 0.000 0.268 Pm
0.000 0.000 0.732 Pm
0.500 0.500 0.134 Nd
0.500 0.500 0.405 Nd
0.500 0.500 0.595 Nd
0.500 0.500 0.866 Nd
0.000 0.000 0.500 Zn
```

[14]
The following is a DFT calculation (PBE-GGA) of crystalline CeNdEr2 at its relaxed geometry.

Calculated values
Mass density ... 8.15 g cm⁻³
Energy of formation ... 0.072 eV per atom

Structure (POSCAR):
```
CeNdEr2
1.0
5.053 0.000 0.000
0.000 5.053 0.000
0.000 0.000 4.939
Ce Nd Er
1 1 2
Direct
0.000 0.000 0.000 Ce
0.500 0.500 0.000 Nd
0.000 0.500 0.500 Er
0.500 0.000 0.500 Er
```

[15]
The following is a DFT calculation (PBE-GGA) of crystalline KGa4Pd at its relaxed geometry.

Calculated values
Mass density ... 5.44 g cm⁻³
Energy of formation ... -0.233 eV per atom

Structure (POSCAR):
```
KGa4Pd
1.0
4.378 0.000 0.000
0.010 7.905 0.000
2.180 3.398 7.481
K Ga Pd
2 8 2
Direct
0.186 0.311 0.128 K
0.814 0.689 0.872 K
0.043 0.870 0.415 Ga
0.169 0.752 0.159 Ga
0.333 0.037 0.835 Ga
0.466 0.637 0.568 Ga
0.534 0.363 0.432 Ga
0.667 0.963 0.165 Ga
0.831 0.248 0.841 Ga
0.957 0.130 0.585 Ga
0.000 0.500 0.500 Pd
0.500 0.000 0.500 Pd
```

[16]
The following is a DFT calculation (PBE-GGA) of crystalline Ba4InSb4 at its relaxed geometry.

Calculated values
Mass density ... 5.04 g cm⁻³
ΔE_f (raw) ... -7.8 eV/f.u.

Structure (POSCAR):
```
Ba4InSb4
1.0
10.164 0.000 0.000
0.000 10.164 0.000
0.000 0.000 7.348
Ba In Sb
8 2 8
Direct
0.015 0.250 0.052 Ba
0.250 0.015 0.552 Ba
0.250 0.485 0.552 Ba
0.485 0.250 0.052 Ba
0.515 0.750 0.948 Ba
0.750 0.515 0.448 Ba
0.750 0.985 0.448 Ba
0.985 0.750 0.948 Ba
0.250 0.750 0.250 In
0.750 0.250 0.750 In
0.012 0.750 0.464 Sb
0.250 0.512 0.036 Sb
0.250 0.988 0.036 Sb
0.488 0.750 0.464 Sb
0.512 0.250 0.536 Sb
0.750 0.012 0.964 Sb
0.750 0.488 0.964 Sb
0.988 0.250 0.536 Sb
```

[17]
The following is a DFT calculation (PBE-GGA) of crystalline Sm4MgAl3 at its relaxed geometry.

Calculated values
Mass density ... 5.72 g cm⁻³
Energy of formation ... -0.317 eV per atom

Structure (POSCAR):
```
Sm4MgAl3
1.0
10.504 0.000 0.000
0.000 7.436 0.000
0.000 0.000 5.252
Sm Mg Al
8 2 6
Direct
0.000 0.246 0.000 Sm
0.000 0.754 0.000 Sm
0.250 0.246 0.499 Sm
0.250 0.754 0.499 Sm
0.500 0.246 0.000 Sm
0.500 0.754 0.000 Sm
0.750 0.246 0.501 Sm
0.750 0.754 0.501 Sm
0.000 0.500 0.500 Mg
0.500 0.500 0.500 Mg
0.000 0.000 0.500 Al
0.250 0.000 0.999 Al
0.250 0.500 0.999 Al
0.500 0.000 0.500 Al
0.750 0.000 0.001 Al
0.750 0.500 0.001 Al
```

Looking at total magnetic moment for the records above, in order, we have 0.0; 0.0; 0.0; 0.0; 0.0; 0.0; 1.0; 0.0; 0.0; 0.0; 3.0; 0.0; 0.0; 0.6; 0.0; 0.0; 0.0 μB per cell.
Looking at final energy for the records above, in order, we have -64.711; -71.231; -42.723; -94.531; -78.071; -26.231; -65.402; -38.805; -21.219; -62.479; -23.276; -50.212; -35.135; -19.539; -39.586; -69.368; -68.467 eV/cell.